No. 1
## LaNd3Pb (GGA-PBE)

Data for a relaxed LaNd3Pb crystal.

Output
ΔE_f   -0.18 eV/atom
Total magnetic moment   0.00 μB/cell
DOS(E_F)   22.84 states/eV/cell

Unit cell a=9.056 b=8.967 c=9.992 alpha=90.00 beta=121.68 gamma=90.00
Fractional coordinates of all 20 atoms:
La 0.192 0.068 0.287
La 0.192 0.432 0.787
La 0.808 0.568 0.213
La 0.808 0.932 0.713
Nd 0.097 0.696 0.059
Nd 0.097 0.804 0.559
Nd 0.237 0.066 0.956
Nd 0.237 0.434 0.456
Nd 0.413 0.086 0.700
Nd 0.413 0.414 0.200
Nd 0.587 0.586 0.800
Nd 0.587 0.914 0.300
Nd 0.763 0.566 0.544
Nd 0.763 0.934 0.044
Nd 0.903 0.196 0.441
Nd 0.903 0.304 0.941
Pb 0.402 0.743 0.963
Pb 0.402 0.757 0.463
Pb 0.598 0.243 0.537
Pb 0.598 0.257 0.037

No. 2
## Al2SiTe (GGA-PBE)

Data for a relaxed Al2SiTe crystal.

Output
Total magnetic moment   0.00 μB/cell
Formation energy without anion corrections   0.29 eV/atom
DOS(E_F)   1.57 states/eV/cell

Unit cell a=3.006 b=3.006 c=9.324 alpha=90.00 beta=90.00 gamma=90.00
Fractional coordinates of all 4 atoms:
Al 0.000 0.000 0.000
Al 0.500 0.500 0.200
Si 0.000 0.000 0.384
Te 0.500 0.500 0.728